# PBE+U PuV2PbO8, relaxed
data_PuV2PbO8
_symmetry_space_group_name_H-M 'P 1'
_symmetry_Int_Tables_number 1
_symmetry_space_group_name_Hall 'P 1'
_cell_length_a 5.449
_cell_length_b 5.449
_cell_length_c 7.578
_cell_angle_alpha 90.24
_cell_angle_beta 90.24
_cell_angle_gamma 66.38
loop_
_atom_site_label
_atom_site_type_symbol
_atom_site_fract_x
_atom_site_fract_y
_atom_site_fract_z
V1 V 0.359 0.359 0.767
V2 V 0.641 0.641 0.233
Pu1 Pu 0.000 0.000 0.000
O1 O 0.728 0.728 0.429
O2 O 0.718 0.217 0.783
O3 O 0.272 0.272 0.571
O4 O 0.783 0.282 0.217
O5 O 0.234 0.234 0.938
O6 O 0.217 0.718 0.783
O7 O 0.282 0.783 0.217
O8 O 0.766 0.766 0.062
Pb1 Pb 0.000 0.000 0.500
# crystal system	monoclinic
# E	-8.129	eV per atom
# volume	17.2	Å³ per atom